Record 1
Material: AcTlSb2
Method: DFT, PBE
State: optimized geometry

```
data_AcTlSb2
_space_group_name_H-M_alt 'P 4/n m m'
_space_group_IT_number 129
_cell_length_a 4.635
_cell_length_b 4.635
_cell_length_c 12.360
_cell_angle_alpha 90.00
_cell_angle_beta 90.00
_cell_angle_gamma 90.00
loop_
_space_group_symop_operation_xyz
'x,y,z'
'-x,-y,-z'
'-y+1/2,x,z'
'y+1/2,-x,-z'
'-x+1/2,-y+1/2,z'
'x+1/2,y+1/2,-z'
'y,-x+1/2,z'
'-y,x+1/2,-z'
'x+1/2,-y,-z'
'-x+1/2,y,z'
'-y,-x,-z'
'y,x,z'
'-x,y+1/2,-z'
'x,-y+1/2,z'
'y+1/2,x+1/2,-z'
'-y+1/2,-x+1/2,z'
loop_
_atom_site_label
_atom_site_type_symbol
_atom_site_fract_x
_atom_site_fract_y
_atom_site_fract_z
Ac1 Ac 0.250 0.250 0.211
Tl1 Tl 0.250 0.750 0.500
Sb1 Sb 0.250 0.250 0.708
Sb2 Sb 0.250 0.750 0.000
```

As for the energy above the most stable polymorph in this dataset: 0 meV/atom. For the formation energy (no corrections), the calculation gives -0.5690 eV/atom.

***

Record 2
Material: Ce6ThTc3
Method: DFT, PBE
State: optimized geometry

```
data_Ce6ThTc3
_space_group_name_H-M_alt 'C m c 21'
_space_group_IT_number 36
_space_group_name_Hall 'C 2c -2'
_cell_length_a 11.718
_cell_length_b 12.288
_cell_length_c 6.852
_cell_angle_alpha 90.00
_cell_angle_beta 90.00
_cell_angle_gamma 90.00
loop_
_atom_site_label
_atom_site_type_symbol
_atom_site_fract_x
_atom_site_fract_y
_atom_site_fract_z
Ce1 Ce 0.000 0.079 0.000
Ce2 Ce 0.000 0.324 0.757
Ce3 Ce 0.232 0.494 0.244
Ce4 Ce 0.236 0.246 0.974
Th1 Th 0.000 0.300 0.265
Tc1 Tc 0.000 0.496 0.992
Tc2 Tc 0.121 0.124 0.574
```

The value obtained for the formation energy is -9 meV per atom.

***

Record 3
Material: Cr2HgBr
Method: DFT, PBE
State: optimized geometry

```
data_Cr2HgBr
_space_group_name_H-M_alt 'C 1 m 1'
_space_group_IT_number 8
_space_group_name_Hall 'C -2y'
_cell_length_a 11.643
_cell_length_b 3.420
_cell_length_c 4.545
_cell_angle_alpha 90.00
_cell_angle_beta 104.12
_cell_angle_gamma 90.00
loop_
_atom_site_label
_atom_site_type_symbol
_atom_site_fract_x
_atom_site_fract_y
_atom_site_fract_z
Cr1 Cr 0.000 0.000 0.000
Cr2 Cr 0.239 0.500 0.441
Hg1 Hg 0.274 0.000 0.968
Br1 Br 0.018 0.500 0.521
```

As for the energy above the most stable polymorph in this dataset: 283 meV/atom. For the formation energy (no corrections), the calculation gives 0.5455 eV/atom.

***

Record 4
Material: CeBe2GePt2
Method: DFT, PBE
State: optimized geometry

```
data_CeBe2GePt2
_space_group_name_H-M_alt 'P 4/m m m'
_space_group_IT_number 123
_space_group_name_Hall '-P 4 2'
_cell_length_a 4.214
_cell_length_b 4.214
_cell_length_c 5.625
_cell_angle_alpha 90.00
_cell_angle_beta 90.00
_cell_angle_gamma 90.00
loop_
_atom_site_label
_atom_site_type_symbol
_atom_site_fract_x
_atom_site_fract_y
_atom_site_fract_z
Ce1 Ce 0.000 0.000 0.000
Be1 Be 0.000 0.500 0.500
Ge1 Ge 0.000 0.000 0.500
Pt1 Pt 0.500 0.500 0.248
```

The value obtained for the formation energy is -304 meV per atom.

***

Record 5
Material: LiZnSb2
Method: DFT, PBE
State: optimized geometry

```
data_LiZnSb2
_space_group_name_H-M_alt 'R 3 m'
_space_group_IT_number 160
_space_group_name_Hall 'R 3 -2"'
_cell_length_a 4.4064
_cell_length_b 4.4064
_cell_length_c 16.9883
_cell_angle_alpha 90.00
_cell_angle_beta 90.00
_cell_angle_gamma 120.00
loop_
_atom_site_label
_atom_site_type_symbol
_atom_site_fract_x
_atom_site_fract_y
_atom_site_fract_z
Li1 Li 0.0000 0.0000 0.0000
Zn1 Zn 0.0000 0.0000 0.1691
Sb1 Sb 0.0000 0.0000 0.5824
Sb2 Sb 0.0000 0.0000 0.7505
```

For the formation energy (no corrections), the calculation gives -0.1343 eV/atom.

***

Record 6
Material: SrMgPtW2
Method: DFT, PBE
State: optimized geometry

```
data_SrMgPtW2
_space_group_name_H-M_alt 'P 4/m m m'
_space_group_IT_number 123
_space_group_name_Hall '-P 4 2'
_cell_length_a 4.966
_cell_length_b 4.966
_cell_length_c 5.020
_cell_angle_alpha 90.00
_cell_angle_beta 90.00
_cell_angle_gamma 90.00
loop_
_atom_site_label
_atom_site_type_symbol
_atom_site_fract_x
_atom_site_fract_y
_atom_site_fract_z
Sr1 Sr 0.000 0.000 0.000
Mg1 Mg 0.500 0.500 0.000
Pt1 Pt 0.500 0.500 0.500
W1 W 0.000 0.500 0.500
```

The value obtained for the formation energy is 1065 meV per atom.

***

| no. | N(E_F) (states/eV/cell) |
| --- | --- |
| 1 | 3.2 |
| 2 | 74.0 |
| 3 | 4.7 |
| 4 | 6.0 |
| 5 | 3.9 |
| 6 | 4.6 |